(1)
# DyY8Th2

DyY8Th2 after structural relaxation (PBE, Alexandria via LeMat-Bulk).

Summary:
For the energy above the lowest structure with this stoichiometry, the calculation gives 22 meV per atom. As for the formation enthalpy at 0 K: 0.21 eV per atom. For the density of states at the Fermi level, the calculation gives 1.3950 states/eV/atom. Its electronic total energy is -6.26 eV/atom.

a b c (Å): 5.9785 8.9940 9.1619
angles (deg): 60.60 74.88 57.90
Positions (direct):
Dy  0.5000  0.0000  0.0000
Y  0.8338  0.1002  0.2308
Y  0.8338  0.3310  0.7692
Y  0.2960  0.4190  0.0000
Y  0.5000  0.7892  0.4215
Y  0.5000  0.2108  0.5785
Y  0.7040  0.5810  0.0000
Y  0.1662  0.6690  0.2308
Y  0.1662  0.8998  0.7692
Th  0.0000  0.3049  0.3903
Th  0.0000  0.6951  0.6097

---

(2)
# Dy3Y4Th2

Dy3Y4Th2 after structural relaxation (PBE, Alexandria via LeMat-Bulk).

Summary:
For the energy above the lowest structure with this stoichiometry, the calculation gives 0 meV per atom. As for the formation enthalpy at 0 K: 0.02 eV per atom. For the density of states at the Fermi level, the calculation gives 1.4213 states/eV/atom. Its electronic total energy is -6.03 eV/atom.

a b c (Å): 3.5774 7.9379 10.6934
angles (deg): 76.97 90.00 103.02
Positions (direct):
Dy  0.3288  0.6577  0.5582
Dy  0.0000  0.0000  0.0000
Dy  0.6712  0.3423  0.4418
Y  0.6691  0.3382  0.1110
Y  0.0054  0.0108  0.6657
Y  0.9946  0.9892  0.3343
Y  0.3309  0.6618  0.8890
Th  0.3338  0.6676  0.2221
Th  0.6662  0.3324  0.7779

---

(3)
# Dy5Y4Th4

Dy5Y4Th4 after structural relaxation (PBE, Alexandria via LeMat-Bulk).

Summary:
As for the formation enthalpy at 0 K: 0.03 eV per atom. For the density of states at the Fermi level, the calculation gives 1.4478 states/eV/atom. Its electronic total energy is -6.01 eV/atom.

a b c (Å): 5.0475 9.4358 9.4358
angles (deg): 85.90 74.49 74.49
Positions (direct):
Dy  0.6946  0.8435  0.7674
Dy  0.3054  0.1565  0.2326
Dy  0.0000  0.0000  0.0000
Dy  0.5380  0.7674  0.1565
Dy  0.4620  0.2326  0.8435
Y  0.7675  0.3851  0.0798
Y  0.2325  0.6149  0.9202
Y  0.8473  0.9202  0.3851
Y  0.1527  0.0798  0.6149
Th  0.9252  0.4613  0.6884
Th  0.6136  0.3116  0.4613
Th  0.0748  0.5387  0.3116
Th  0.3864  0.6884  0.5387

---

(4)
# Dy2Y12Th

Dy2Y12Th after structural relaxation (PBE, Alexandria via LeMat-Bulk).

Summary:
As for the formation enthalpy at 0 K: 0.12 eV per atom. For the density of states at the Fermi level, the calculation gives 1.6276 states/eV/atom. Its electronic total energy is -6.16 eV/atom.

a b c (Å): 6.6425 6.6425 25.0295
angles (deg): 83.39 83.39 115.03
Positions (direct):
Dy  0.5480  0.0480  0.2724
Dy  0.0436  0.5436  0.2718
Dy  0.9520  0.4520  0.7276
Dy  0.4564  0.9564  0.7282
Y  0.4018  0.4017  0.7981
Y  0.9017  0.9018  0.7981
Y  0.5546  0.5547  0.9274
Y  0.1028  0.6028  0.8626
Y  0.0049  0.9993  0.3302
Y  0.3972  0.8972  0.1374
Y  0.8128  0.3128  0.5784
Y  0.4993  0.5049  0.3302
Y  0.0547  0.0546  0.9274
Y  0.9454  0.9453  0.0726
Y  0.3295  0.3372  0.5549
Y  0.6872  0.1872  0.4216
Y  0.0007  0.9951  0.6698
Y  0.1705  0.1628  0.4451
Y  0.4453  0.4454  0.0726
Y  0.6628  0.6705  0.4451
Y  0.8372  0.8295  0.5549
Y  0.0982  0.0983  0.2019
Y  0.3246  0.8246  0.5725
Y  0.4951  0.5007  0.6698
Y  0.6028  0.1028  0.8628
Y  0.5983  0.5982  0.2019
Y  0.1754  0.6754  0.4275
Y  0.8972  0.3972  0.1372
Th  0.5004  0.0004  0.0000
Th  0.9996  0.4996  0.0000

---

(5)
# Dy3Y2Th3

Dy3Y2Th3 after structural relaxation (PBE, Alexandria via LeMat-Bulk).

Summary:
As for the formation enthalpy at 0 K: 0.16 eV per atom. For the density of states at the Fermi level, the calculation gives 1.4111 states/eV/atom. Its electronic total energy is -5.97 eV/atom.

a b c (Å): 3.6004 9.1053 9.1053
angles (deg): 120.00 90.00 90.00
Positions (direct):
Dy  0.5000  0.0000  0.3938
Dy  0.5000  0.3938  0.0000
Dy  0.5000  0.6063  0.6063
Y  0.0000  0.6666  0.3333
Y  0.0000  0.3333  0.6666
Th  0.0000  0.0000  0.7729
Th  0.0000  0.7729  0.0000
Th  0.0000  0.2271  0.2271

---

(6)
# Dy4Y15Th

Dy4Y15Th after structural relaxation (PBE, Alexandria via LeMat-Bulk).

Summary:
As for the formation enthalpy at 0 K: 0.03 eV per atom. For the density of states at the Fermi level, the calculation gives 1.4962 states/eV/atom. Its electronic total energy is -6.11 eV/atom.

a b c (Å): 5.0548 5.0548 25.1774
angles (deg): 90.00 90.00 90.00
Positions (direct):
Dy  0.0000  0.0000  0.2000
Dy  0.0000  0.0000  0.4001
Dy  0.0000  0.0000  0.5999
Dy  0.0000  0.0000  0.8000
Y  0.5000  0.5000  0.0000
Y  0.5000  0.5000  0.2010
Y  0.5000  0.5000  0.4000
Y  0.5000  0.5000  0.6000
Y  0.5000  0.5000  0.7990
Y  0.5000  0.0000  0.0992
Y  0.5000  0.0000  0.3000
Y  0.5000  0.0000  0.5000
Y  0.5000  0.0000  0.7000
Y  0.5000  0.0000  0.9008
Y  0.0000  0.5000  0.0992
Y  0.0000  0.5000  0.3000
Y  0.0000  0.5000  0.5000
Y  0.0000  0.5000  0.7000
Y  0.0000  0.5000  0.9008
Th  0.0000  0.0000  0.0000

---

Question: Which of these has the lowest density of states at the Fermi level?
Answer: DyY8Th2

---

Repeat the sixth record exactly.
# Dy4Y15Th

Dy4Y15Th after structural relaxation (PBE, Alexandria via LeMat-Bulk).

Summary:
As for the formation enthalpy at 0 K: 0.03 eV per atom. For the density of states at the Fermi level, the calculation gives 1.4962 states/eV/atom. Its electronic total energy is -6.11 eV/atom.

a b c (Å): 5.0548 5.0548 25.1774
angles (deg): 90.00 90.00 90.00
Positions (direct):
Dy  0.0000  0.0000  0.2000
Dy  0.0000  0.0000  0.4001
Dy  0.0000  0.0000  0.5999
Dy  0.0000  0.0000  0.8000
Y  0.5000  0.5000  0.0000
Y  0.5000  0.5000  0.2010
Y  0.5000  0.5000  0.4000
Y  0.5000  0.5000  0.6000
Y  0.5000  0.5000  0.7990
Y  0.5000  0.0000  0.0992
Y  0.5000  0.0000  0.3000
Y  0.5000  0.0000  0.5000
Y  0.5000  0.0000  0.7000
Y  0.5000  0.0000  0.9008
Y  0.0000  0.5000  0.0992
Y  0.0000  0.5000  0.3000
Y  0.0000  0.5000  0.5000
Y  0.0000  0.5000  0.7000
Y  0.0000  0.5000  0.9008
Th  0.0000  0.0000  0.0000

---

Question: The highest electronic total energy belongs to which entry?
Answer: Dy3Y2Th3